Re2SbSeCl: relaxed, PBEsol.

Output
energy relative to the elements, uncorrected: 1.620 eV per atom
SG: No. 123
crystal system: tetragonal

Lattice parameters (Å, degrees): 4.614 4.614 4.961 90.00 90.00 90.00
Site moments in Bohr magnetons follow the coordinates.
Atoms (fractional coordinates):
Sb (0.500, 0.500, 0.500)  -0.08
Se (0.000, 0.000, 0.000)  -0.04
Re (0.000, 0.500, 0.000)  1.01
Cl (0.000, 0.000, 0.500)  0.06
Re (0.500, 0.000, 0.000)  1.01